1.
Below is a geometry-optimized HfZrCd4 structure, with properties calculated at the GGA-PBE level.

Values from the calculation:
* calculated formation energy: 0.3 eV per formula unit

a b c (Å): 8.0142 8.0142 8.0142
angles (deg): 90.00 90.00 90.00
Space group F-43m (No. 216)
One atom of each set of equivalent atoms:
Hf: 0.0000 0.0000 0.0000 x4
Zr: 0.2500 0.2500 0.2500 x4
Cd: 0.1250 0.1250 0.6250 x16

2.
Below is a geometry-optimized PaSiC structure, with properties calculated at the GGA-PBE level.

a b c (Å): 3.3421 3.3421 4.3677
angles (deg): 90.00 90.00 120.00
Space group P-6m2 (No. 187)
One atom of each set of equivalent atoms:
Pa: 0.0000 0.0000 0.0000 x1
Si: 0.6667 0.3333 0.5000 x1
C: 0.3333 0.6667 0.5000 x1

Values for total energy, eV per atom, ordered as above
-3.64, -8.11
Values for DOS(E_F), states/eV/atom, ordered as above
0.745, 0.503
Values for relative energy among the computed polymorphs, meV per atom, ordered as above
70.6, 48.8